1.
Density functional theory data (GGA-PBE) for a relaxed structure of CaAlAs.

For the density of states at the Fermi level, the calculation gives 0.3 states/eV/f.u. The calculated formation energy comes out at -0.7621 eV per atom. For the volume, the calculation gives 24.51 A^3/atom.

Cell lengths 3.8870, 16.1259, 4.6925 Å; angles 90.00, 90.00, 90.00 degrees
With the nearest neighbours (Å) after each atom.
Sites, in units of the cell vectors:
Al  0.5000  0.0380  0.2500  2 As 2.58, 2 Al 2.65
Al  0.0000  0.4620  0.7500  2 As 2.58, 2 Al 2.65
Al  0.0000  0.5380  0.2500  2 As 2.58, 2 Al 2.65
Al  0.5000  0.9620  0.7500  2 As 2.58, 2 Al 2.65
As  0.5000  0.3565  0.7500  2 Al 2.58
As  0.0000  0.1435  0.2500  2 Al 2.58
As  0.0000  0.8565  0.7500  2 Al 2.58
As  0.5000  0.6435  0.2500  2 Al 2.58
Ca  0.0000  0.3309  0.2500  5 As 3.02-3.07, 3 Al 3.16-3.34
Ca  0.5000  0.1691  0.7500  5 As 3.02-3.07, 3 Al 3.16-3.34
Ca  0.0000  0.6691  0.7500  5 As 3.02-3.07, 3 Al 3.16-3.34
Ca  0.5000  0.8309  0.2500  5 As 3.02-3.07, 3 Al 3.16-3.34

***

2.
Density functional theory data (GGA-PBE) for a relaxed structure of CaAlAs.

For the density of states at the Fermi level, the calculation gives 0.8 states/eV/f.u. The calculated formation energy comes out at -0.6391 eV per atom. For the volume, the calculation gives 23.78 A^3/atom.

Cell lengths 8.1436, 3.8508, 11.5955 Å; angles 90.00, 128.29, 90.00 degrees
With the nearest neighbours (Å) after each atom.
Sites, in units of the cell vectors:
As  0.2020  0.0000  0.0928  2 Al 2.49
As  0.5721  0.5000  0.4879  3 Al 2.56-2.59
As  0.5721  0.0000  0.9879  3 Al 2.56-2.59
As  0.2020  0.5000  0.5928  2 Al 2.49
Al  0.4435  0.5000  0.2233  3 As 2.49-2.56, 1 Al 2.77
Al  0.7396  0.5000  0.1776  2 As 2.59, 1 Al 2.77
Al  0.7396  0.0000  0.6776  2 As 2.59, 1 Al 2.77
Al  0.4435  0.0000  0.7233  3 As 2.49-2.56, 1 Al 2.77
Ca  0.2084  0.5000  0.8625  5 As 3.04-3.32, 1 Al 3.35
Ca  0.2084  0.0000  0.3625  5 As 3.04-3.32, 1 Al 3.35
Ca  0.8503  0.0000  0.4640  4 As 2.97-3.11, 3 Al 3.12-3.32
Ca  0.8503  0.5000  0.9640  4 As 2.97-3.11, 3 Al 3.12-3.32

***

3.
Density functional theory data (GGA-PBE) for a relaxed structure of CaAlAs.

The calculated formation energy comes out at -0.0910 eV per atom. For the volume, the calculation gives 26.94 A^3/atom.

Cell lengths 4.8529, 4.8529, 4.8529 Å; angles 60.00, 60.00, 60.00 degrees
With the nearest neighbours (Å) after each atom.
Sites, in units of the cell vectors:
Ca  0.7500  0.7500  0.7500  4 As 2.97, 4 Al 2.97
As  0.5000  0.5000  0.5000  4 Ca 2.97
Al  0.0000  0.0000  0.0000  4 Ca 2.97

***

4.
Density functional theory data (GGA-PBE) for a relaxed structure of Ca2AlAs2.

For the density of states at the Fermi level, the calculation gives 2.1 states/eV/f.u. The calculated formation energy comes out at -0.3588 eV per atom. For the volume, the calculation gives 25.89 A^3/atom.

Cell lengths 3.8360, 3.8360, 9.2061 Å; angles 77.97, 77.97, 90.00 degrees
With the nearest neighbours (Å) after each atom.
Sites, in units of the cell vectors:
Ca  0.6131  0.6131  0.7738  4 As 3.08, 4 Al 3.36
Ca  0.3869  0.3869  0.2262  4 As 3.08, 4 Al 3.36
As  0.7500  0.2500  0.5000  4 As 2.71
As  0.2500  0.7500  0.5000  4 As 2.71
Al  0.0000  0.0000  0.0000  8 Ca 3.36

***

5.
Density functional theory data (GGA-PBE) for a relaxed structure of CaAlAs.

For the density of states at the Fermi level, the calculation gives 0.8 states/eV/f.u. The calculated formation energy comes out at -0.6275 eV per atom. For the volume, the calculation gives 21.97 A^3/atom.

Cell lengths 14.6523, 6.2387, 5.7674 Å; angles 90.00, 90.00, 90.00 degrees
With the nearest neighbours (Å) after each atom.
Sites, in units of the cell vectors:
Al  0.0000  0.2500  0.2500  4 As 2.84, 4 Al 2.88-3.12
Al  0.0000  0.7500  0.7500  4 As 2.84, 4 Al 2.88-3.12
Al  0.0000  0.2500  0.7500  4 As 2.84, 4 Al 2.88-3.12
Al  0.5000  0.2500  0.2500  4 As 2.84, 4 Al 2.88-3.12
Al  0.5000  0.7500  0.2500  4 As 2.84, 4 Al 2.88-3.12
Al  0.5000  0.2500  0.7500  4 As 2.84, 4 Al 2.88-3.12
Al  0.0000  0.7500  0.2500  4 As 2.84, 4 Al 2.88-3.12
Al  0.5000  0.7500  0.7500  4 As 2.84, 4 Al 2.88-3.12
Ca  0.3363  0.5000  0.5000  5 As 2.93-3.16, 4 Al 3.20
Ca  0.3363  0.0000  0.0000  5 As 2.93-3.16, 4 Al 3.20
Ca  0.1637  0.0000  0.5000  5 As 2.93-3.16, 4 Al 3.20
Ca  0.6637  0.0000  0.0000  5 As 2.93-3.16, 4 Al 3.20
Ca  0.8363  0.0000  0.5000  5 As 2.93-3.16, 4 Al 3.20
Ca  0.6637  0.5000  0.5000  5 As 2.93-3.16, 4 Al 3.20
Ca  0.8363  0.5000  0.0000  5 As 2.93-3.16, 4 Al 3.20
Ca  0.1637  0.5000  0.0000  5 As 2.93-3.16, 4 Al 3.20
As  0.8710  0.0000  0.0000  4 Al 2.84, 5 Ca 2.93-3.16
As  0.8710  0.5000  0.5000  4 Al 2.84, 5 Ca 2.93-3.16
As  0.3710  0.5000  0.0000  4 Al 2.84, 5 Ca 2.93-3.16
As  0.1290  0.5000  0.5000  4 Al 2.84, 5 Ca 2.93-3.16
As  0.3710  0.0000  0.5000  4 Al 2.84, 5 Ca 2.93-3.16
As  0.6290  0.0000  0.5000  4 Al 2.84, 5 Ca 2.93-3.16
As  0.6290  0.5000  0.0000  4 Al 2.84, 5 Ca 2.93-3.16
As  0.1290  0.0000  0.0000  4 Al 2.84, 5 Ca 2.93-3.16

***

6.
Density functional theory data (GGA-PBE) for a relaxed structure of CaAlAs.

For the density of states at the Fermi level, the calculation gives 3.4 states/eV/f.u. The calculated formation energy comes out at -0.2621 eV per atom. For the volume, the calculation gives 26.78 A^3/atom.

Cell lengths 4.8431, 4.8431, 4.8431 Å; angles 60.00, 60.00, 60.00 degrees
With the nearest neighbours (Å) after each atom.
Sites, in units of the cell vectors:
As  0.7500  0.7500  0.7500  4 Al 2.97, 4 Ca 2.97
Al  0.5000  0.5000  0.5000  4 As 2.97
Ca  0.0000  0.0000  0.0000  4 As 2.97

***

7.
Density functional theory data (GGA-PBE) for a relaxed structure of CaAl2As2.

For the density of states at the Fermi level, the calculation gives 2.6 states/eV/f.u. The calculated formation energy comes out at -0.3561 eV per atom. For the volume, the calculation gives 20.90 A^3/atom.

Cell lengths 3.9395, 3.9395, 7.2883 Å; angles 74.32, 74.32, 90.00 degrees
With the nearest neighbours (Å) after each atom.
Sites, in units of the cell vectors:
Al  0.2500  0.7500  0.5000  4 As 2.74, 4 Al 2.79
Al  0.7500  0.2500  0.5000  4 As 2.74, 4 Al 2.79
Ca  0.0000  0.0000  0.0000  8 As 3.15
As  0.6088  0.6088  0.7823  4 Al 2.74, 1 As 2.93
As  0.3912  0.3912  0.2177  4 Al 2.74, 1 As 2.93

***

8.
Density functional theory data (GGA-PBE) for a relaxed structure of CaAlAs.

For the density of states at the Fermi level, the calculation gives 0.6 states/eV/f.u. The calculated formation energy comes out at -0.6620 eV per atom. For the volume, the calculation gives 22.89 A^3/atom.

Cell lengths 6.0377, 4.1810, 11.4867 Å; angles 90.00, 108.71, 90.00 degrees
With the nearest neighbours (Å) after each atom.
Sites, in units of the cell vectors:
Al  0.8745  0.0000  0.0284  3 As 2.57-2.67, 2 Al 2.87
Al  0.8745  0.5000  0.5284  3 As 2.57-2.67, 2 Al 2.87
Al  0.5314  0.0000  0.4544  3 As 2.59-2.70, 2 Al 2.87
Al  0.5314  0.5000  0.9544  3 As 2.59-2.70, 2 Al 2.87
Ca  0.4148  0.5000  0.2282  4 As 3.09-3.13, 3 Al 3.23-3.44
Ca  0.9790  0.5000  0.8550  4 As 2.99-3.06, 4 Al 3.09-3.25
Ca  0.9790  0.0000  0.3550  4 As 2.99-3.06, 4 Al 3.09-3.25
Ca  0.4148  0.0000  0.7282  4 As 3.09-3.13, 3 Al 3.23-3.44
As  0.3080  0.5000  0.5154  3 Al 2.67-2.70
As  0.8763  0.5000  0.1593  3 Al 2.57-2.59
As  0.8763  0.0000  0.6593  3 Al 2.57-2.59
As  0.3080  0.0000  0.0154  3 Al 2.67-2.70

***

9.
Density functional theory data (GGA-PBE) for a relaxed structure of Ca4AlAs.

For the density of states at the Fermi level, the calculation gives 8.1 states/eV/f.u. The calculated formation energy comes out at 0.3508 eV per atom. For the volume, the calculation gives 31.12 A^3/atom.

Cell lengths 6.4158, 6.4158, 6.4158 Å; angles 60.00, 60.00, 60.00 degrees
With the nearest neighbours (Å) after each atom.
Sites, in units of the cell vectors:
Ca  0.3747  0.3747  0.8760  6 Ca 3.20-3.22
Ca  0.8760  0.3747  0.3747  6 Ca 3.20-3.22
Ca  0.3747  0.3747  0.3747  6 Ca 3.20-3.22
Ca  0.3747  0.8760  0.3747  6 Ca 3.20-3.22
As  0.0000  0.0000  0.0000  12 Ca 3.76, 4 Al 3.93
Al  0.7500  0.7500  0.7500  12 Ca 3.76, 4 As 3.93

***

10.
Density functional theory data (GGA-PBE) for a relaxed structure of CaAlAs4.

For the density of states at the Fermi level, the calculation gives 4.5 states/eV/f.u. The calculated formation energy comes out at -0.0263 eV per atom. For the volume, the calculation gives 21.84 A^3/atom.

Cell lengths 5.7016, 5.7016, 5.7016 Å; angles 60.00, 60.00, 60.00 degrees
With the nearest neighbours (Å) after each atom.
Sites, in units of the cell vectors:
Ca  0.7500  0.7500  0.7500  12 As 3.35, 4 Al 3.49
Al  0.0000  0.0000  0.0000  12 As 3.34, 4 Ca 3.49
As  0.3720  0.3720  0.8839  6 As 2.78-2.92
As  0.3720  0.8839  0.3720  6 As 2.78-2.92
As  0.3720  0.3720  0.3720  6 As 2.78-2.92
As  0.8839  0.3720  0.3720  6 As 2.78-2.92